A relaxed structure of LiSc2Mn, computed with GGA-PBE.

Values from the calculation:
**Formation energy**: 0.204 eV per atom
**Crystal system**: tetragonal

The structure in POSCAR format:
```
LiSc2Mn
1.0
3.2472 0.0000 0.0000
0.0000 3.2472 0.0000
0.0000 0.0000 7.3634
Li Sc Mn
1 2 1
direct
0.0000 0.0000 0.0000
0.0000 0.0000 0.4123
0.5000 0.5000 0.7440
0.5000 0.5000 0.1776
```